Material: MgScTl2
Method: DFT, GGA-PBEsol
State: optimized geometry

For the formation energy, the calculation gives -0.203 eV/atom. The value obtained for the final energy is -3.5989 eV/atom.

Lattice parameters (Å, degrees): 3.547 3.553 7.165 90.00 90.00 90.00
Atoms (fractional coordinates):
Sc 0.500 0.500 0.500
Tl 0.000 0.000 0.755
Mg 0.500 0.500 0.000
Tl 0.000 0.000 0.245

Material: MgSc3Tl
Method: DFT, GGA-PBEsol
State: optimized geometry

For the formation energy, the calculation gives 0.645 eV/atom. The value obtained for the final energy is -4.1873 eV/atom.

Lattice parameters (Å, degrees): 5.135 5.135 5.135 90.00 90.00 90.00
Atoms (fractional coordinates):
Sc 0.000 0.500 0.000
Mg 0.000 0.000 0.000
Sc 0.000 0.000 0.500
Tl 0.500 0.500 0.500
Sc 0.500 0.000 0.000

Material: MgScTl2
Method: DFT, GGA-PBEsol
State: optimized geometry

For the formation energy, the calculation gives -0.169 eV/atom. The value obtained for the final energy is -3.5644 eV/atom.

Lattice parameters (Å, degrees): 3.777 4.680 6.066 112.69 108.14 90.00
Atoms (fractional coordinates):
Tl 0.995 0.995 0.990
Sc 0.256 0.756 0.511
Mg 0.503 0.503 0.006
Tl 0.746 0.246 0.493

Please write out number 2 again, unchanged.
Material: MgSc3Tl
Method: DFT, GGA-PBEsol
State: optimized geometry

For the formation energy, the calculation gives 0.645 eV/atom. The value obtained for the final energy is -4.1873 eV/atom.

Lattice parameters (Å, degrees): 5.135 5.135 5.135 90.00 90.00 90.00
Atoms (fractional coordinates):
Sc 0.000 0.500 0.000
Mg 0.000 0.000 0.000
Sc 0.000 0.000 0.500
Tl 0.500 0.500 0.500
Sc 0.500 0.000 0.000

> Among the records above, which one has the lowest final energy?

MgSc3Tl

> Look up the final energy of the third one.

-3.5644 eV/atom